A relaxed Na6Pt2Au crystal. Source: Alexandria, functional PBE.

a = 4.975 Å, b = 4.975 Å, c = 10.277 Å
α = 75.99°, β = 75.99°, γ = 60.00°
Element x y z (fractional)
Pt 0.090 0.090 0.730
Pt 0.910 0.910 0.270
Na 0.298 0.298 0.105
Na 0.808 0.808 0.575
Na 0.192 0.192 0.425
Na 0.702 0.702 0.895
Na 0.423 0.423 0.732
Na 0.577 0.577 0.268
Au 0.000 0.000 0.000



A relaxed NaPt2Au4 crystal. Source: Alexandria, functional PBE.

a = 5.491 Å, b = 5.622 Å, c = 5.622 Å
α = 75.73°, β = 60.27°, γ = 60.28°
Element x y z (fractional)
Au 0.707 0.583 0.000
Au 0.292 0.000 0.417
Au 0.292 0.417 0.000
Au 0.707 0.000 0.583
Pt 0.249 0.501 0.501
Pt 0.751 0.499 0.499
Na 0.000 0.000 0.000



Going through the records in order, we get VASP energy values of -2.7479; -3.9228 eV per atom.
Going through the records in order, we get calculated density values of 5.692; 15.236 g/cm³.